# 1
Density functional theory data (PBE) for crystalline ZnIn2Ni2 at its relaxed geometry.

a b c (Å): 7.333 7.333 3.094
angles (deg): 90.00 90.00 90.00
Space group P4/mbm (No. 127)
One atom of each set of equivalent atoms:
Zn: 0.000 0.000 0.000
In: 0.153 0.347 0.000
Ni: 0.143 0.643 0.500

Summary:
N(E_F) = 3.604 states/eV/cell
Formation energy = 70 meV/atom
ρ = 8.23 g cm⁻³
Energy = -3.59 eV per atom


# 2
Density functional theory data (PBE) for crystalline ZnIn2Ni at its relaxed geometry.

a b c (Å): 4.329 4.329 7.701
angles (deg): 90.00 90.00 90.00
Space group I4/mmm (No. 139)
One atom of each set of equivalent atoms:
Zn: 0.000 0.000 0.000
In: 0.000 0.500 0.250
Ni: 0.000 0.000 0.500

Summary:
N(E_F) = 3.702 states/eV/cell
Formation energy = 120 meV/atom
ρ = 8.14 g cm⁻³
Energy = -3.01 eV per atom


# 3
Density functional theory data (PBE) for crystalline Zn2InNi2 at its relaxed geometry.

a b c (Å): 3.764 3.764 11.133
angles (deg): 90.00 90.00 90.00
Space group I4/mmm (No. 139)
One atom of each set of equivalent atoms:
Zn: 0.000 0.000 0.113
In: 0.000 0.000 0.500
Ni: 0.000 0.500 0.250

Summary:
N(E_F) = 4.400 states/eV/cell
Formation energy = 114 meV/atom
ρ = 7.64 g cm⁻³
Energy = -3.26 eV per atom